No. 1
DFT (GGA-PBE) results for an optimized crystal structure of PrTl5Se4.

Cell: 9.9368 9.9368 8.7739 Å, 112.26 112.26 25.50°
Sites, in units of the cell vectors:
Pr 0.0000 0.0000 0.0000
Tl 0.0000 0.0000 0.5000
Tl 0.3066 0.3066 0.6857
Tl 0.3469 0.3469 0.1949
Tl 0.6531 0.6531 0.8051
Tl 0.6934 0.6934 0.3143
Se 0.1627 0.1627 0.0505
Se 0.4689 0.4689 0.7464
Se 0.5311 0.5311 0.2536
Se 0.8373 0.8373 0.9495

Total energy   -3.817 eV/atom
Raw formation energy   -0.762 eV per atom
Total moment   0.00 μB/cell

---

No. 2
DFT (GGA-PBE) results for an optimized crystal structure of LiNCl2.

Cell: 7.1957 7.1957 7.1957 Å, 31.24 31.24 31.24°
Sites, in units of the cell vectors:
Li 0.0000 0.0000 0.0000
N 0.5000 0.5000 0.5000
Cl 0.3977 0.3977 0.3977
Cl 0.6023 0.6023 0.6023

Total energy   -3.245 eV/atom
Raw formation energy   0.238 eV per atom
Total moment   2.00 μB/cell
DOS(E_F)   0.00 states/eV/atom
Polymorph energy (0 for the lowest one)   0.369 eV per atom